# PBE Li3PrBi2, optimized geometry
data_Li3PrBi2
_symmetry_space_group_name_H-M 'C 1 2/m 1'
_symmetry_Int_Tables_number 12
_cell_length_a 16.8655
_cell_length_b 4.5718
_cell_length_c 8.4573
_cell_angle_alpha 90.00
_cell_angle_beta 115.55
_cell_angle_gamma 90.00
loop_
_symmetry_equiv_pos_as_xyz
'x,y,z'
'-x,-y,-z'
'-x,y,-z'
'x,-y,z'
'x+1/2,y+1/2,z'
'-x+1/2,-y+1/2,-z'
'-x+1/2,y+1/2,-z'
'x+1/2,-y+1/2,z'
loop_
_atom_site_label
_atom_site_type_symbol
_atom_site_fract_x
_atom_site_fract_y
_atom_site_fract_z
Li1 Li 0.0613 0.0000 0.4128
Li2 Li 0.1013 0.5000 0.6693
Li3 Li 0.1998 0.5000 0.4915
Pr1 Pr 0.1313 0.0000 0.0426
Bi1 Bi 0.0282 0.5000 0.2157
Bi2 Bi 0.2140 0.0000 0.7401
# D(E_F) in states/eV per cell: 5.9
# Total magnetic moment in μB/cell: 0.0
# Energy above the most stable polymorph in this dataset in meV per atom: 103
# Energy of formation in meV/atom: -593

# PBE Y2MnBr, optimized geometry
data_Y2MnBr
_symmetry_space_group_name_H-M 'C 1 m 1'
_symmetry_Int_Tables_number 8
_cell_length_a 11.1002
_cell_length_b 3.4739
_cell_length_c 5.0425
_cell_angle_alpha 90.00
_cell_angle_beta 90.59
_cell_angle_gamma 90.00
loop_
_symmetry_equiv_pos_as_xyz
'x,y,z'
'x,-y,z'
'x+1/2,y+1/2,z'
'x+1/2,-y+1/2,z'
loop_
_atom_site_label
_atom_site_type_symbol
_atom_site_fract_x
_atom_site_fract_y
_atom_site_fract_z
Y1 Y 0.0000 0.0000 0.0000
Y2 Y 0.2293 0.5000 0.5050
Mn1 Mn 0.2607 0.0000 0.0048
Br1 Br 0.4649 0.0000 0.4982
# D(E_F) in states/eV per cell: 7.5
# Total magnetic moment in μB/cell: 6.0
# Energy above the most stable polymorph in this dataset in meV per atom: 169
# Raw formation energy in eV/atom: -0.249

> Look up the energy above the most stable polymorph in this dataset of the first one.

103 meV per atom